Entry 1:
# Tm2Ag

An optimized crystal structure of Tm2Ag (PBE, OQMD via LeMat-Bulk).

Geometry as CIF:
```
data_Tm2Ag
_chemical_formula_sum 'Tm4 Ag2'
_symmetry_space_group_name_H-M 'P 1'
_symmetry_Int_Tables_number 1
_symmetry_space_group_name_Hall 'P 1'
_cell_length_a 8.805
_cell_length_b 8.805
_cell_length_c 8.805
_cell_angle_alpha 60.00
_cell_angle_beta 60.00
_cell_angle_gamma 60.00
loop_
_atom_site_label
_atom_site_type_symbol
_atom_site_fract_x
_atom_site_fract_y
_atom_site_fract_z
Tm1 Tm 0.875 0.375 0.375
Tm2 Tm 0.375 0.375 0.375
Ag1 Ag 0.500 0.500 0.500
Ag2 Ag 0.250 0.250 0.250
Tm3 Tm 0.375 0.375 0.875
Tm4 Tm 0.375 0.875 0.375
```

Calculated values
ΔE_f ... 1441 meV/atom
SG ... Fd-3m, No. 227

***

Entry 2:
# CdSnAsP

An optimized crystal structure of CdSnAsP (PBE, OQMD via LeMat-Bulk).

Geometry as CIF:
```
data_CdSnAsP
_chemical_formula_sum 'Cd2 Sn2 As2 P2'
_symmetry_space_group_name_H-M 'P 1'
_symmetry_Int_Tables_number 1
_symmetry_space_group_name_Hall 'P 1'
_cell_length_a 6.087
_cell_length_b 6.087
_cell_length_c 7.327
_cell_angle_alpha 114.38
_cell_angle_beta 114.38
_cell_angle_gamma 90.00
loop_
_atom_site_label
_atom_site_type_symbol
_atom_site_fract_x
_atom_site_fract_y
_atom_site_fract_z
P1 P 0.130 0.374 0.750
Cd1 Cd 0.013 0.750 0.000
P2 P 0.374 0.130 0.250
As1 As 0.620 0.874 0.750
Cd2 Cd 0.750 0.013 0.500
Sn1 Sn 0.488 0.250 0.000
Sn2 Sn 0.250 0.488 0.500
As2 As 0.874 0.620 0.250
```

Calculated values
Raw total energy ... -3.859 eV per atom
SG ... Cc, No. 9

***

Entry 3:
# Ho5Te3Pd

An optimized crystal structure of Ho5Te3Pd (PBE, OQMD via LeMat-Bulk).

Geometry as CIF:
```
data_Ho5Te3Pd
_chemical_formula_sum 'Ho5 Te3 Pd1'
_symmetry_space_group_name_H-M 'P 1'
_symmetry_Int_Tables_number 1
_symmetry_space_group_name_Hall 'P 1'
_cell_length_a 8.654
_cell_length_b 8.654
_cell_length_c 3.827
_cell_angle_alpha 90.00
_cell_angle_beta 90.00
_cell_angle_gamma 120.00
loop_
_atom_site_label
_atom_site_type_symbol
_atom_site_fract_x
_atom_site_fract_y
_atom_site_fract_z
Te1 Te 0.000 0.562 0.000
Ho1 Ho 0.236 0.000 0.500
Ho2 Ho 0.764 0.764 0.500
Ho3 Ho 0.000 0.236 0.500
Te2 Te 0.438 0.438 0.000
Pd1 Pd 0.000 0.000 0.000
Ho4 Ho 0.667 0.333 0.500
Ho5 Ho 0.333 0.667 0.500
Te3 Te 0.562 0.000 0.000
```

Calculated values
Energy relative to the lowest polymorph listed for this composition ... 0 meV/atom
SG ... P-62m, No. 189

***

Entry 4:
# RbLuBe

An optimized crystal structure of RbLuBe (PBE, OQMD via LeMat-Bulk).

Geometry as CIF:
```
data_RbLuBe
_chemical_formula_sum 'Rb1 Lu1 Be1'
_symmetry_space_group_name_H-M 'P 1'
_symmetry_Int_Tables_number 1
_symmetry_space_group_name_Hall 'P 1'
_cell_length_a 5.204
_cell_length_b 5.204
_cell_length_c 5.204
_cell_angle_alpha 60.00
_cell_angle_beta 60.00
_cell_angle_gamma 60.00
loop_
_atom_site_label
_atom_site_type_symbol
_atom_site_fract_x
_atom_site_fract_y
_atom_site_fract_z
Be1 Be 0.000 0.000 0.000
Rb1 Rb 0.750 0.750 0.750
Lu1 Lu 0.250 0.250 0.250
```

Calculated values
Energy relative to the lowest polymorph listed for this composition ... 0 meV/atom
SG ... F-43m, No. 216